(A)
Entry from the Alexandria database: a geometry-optimized AgAu4 structure (PBE).

Structure (POSCAR):
```
AgAu4
1.0
-1.923 1.923 6.895
1.923 -1.923 6.895
1.923 1.923 -6.895
Ag Au
1 4
Direct
0.000 0.000 0.000
0.250 0.750 0.500
0.404 0.404 0.000
0.596 0.596 0.000
0.750 0.250 0.500
```

Output
SG: No. 139

***

(B)
Entry from the Alexandria database: a geometry-optimized AgAu4 structure (PBE).

Structure (POSCAR):
```
AgAu4
1.0
4.890 -1.460 0.000
4.890 1.460 0.000
-3.474 0.000 6.301
Ag Au
1 4
Direct
0.000 0.000 0.000
0.200 0.200 0.801
0.399 0.399 0.600
0.601 0.601 0.400
0.800 0.800 0.199
```

Output
SG: No. 12

***

Which of them is least stable? Easy: (A).

***

(A)
Entry from the Alexandria database: a geometry-optimized Ag2Au3 structure (PBE).

Structure (POSCAR):
```
Ag2Au3
1.0
4.550 0.000 0.000
-2.275 3.940 0.000
0.000 0.000 5.623
Ag Au
2 3
Direct
0.333 0.667 0.342
0.667 0.333 0.658
0.000 0.000 0.500
0.333 0.667 0.853
0.667 0.333 0.147
```

Output
SG: No. 164

***

(B)
Entry from the Alexandria database: a geometry-optimized Ag2Au3 structure (PBE).

Structure (POSCAR):
```
Ag2Au3
1.0
5.097 0.000 0.000
-1.695 5.650 0.000
-0.799 -1.776 6.233
Ag Au
4 6
Direct
0.000 0.000 0.000
0.000 0.500 0.000
0.199 0.401 0.401
0.801 0.599 0.599
0.200 0.899 0.401
0.398 0.301 0.802
0.401 0.800 0.800
0.599 0.200 0.200
0.602 0.699 0.198
0.800 0.101 0.599
```

Output
SG: No. 2

***

Which of them is least stable? Easy: (A).

***

(A)
Entry from the Alexandria database: a geometry-optimized Ag13Au2 structure (PBE).

Structure (POSCAR):
```
Ag13Au2
1.0
5.148 0.000 0.000
0.086 7.162 0.000
0.835 2.406 7.286
Ag Au
13 2
Direct
0.000 0.000 0.000
0.134 0.266 0.201
0.200 0.399 0.801
0.267 0.533 0.400
0.333 0.665 0.999
0.400 0.799 0.600
0.466 0.933 0.199
0.534 0.067 0.801
0.600 0.201 0.400
0.667 0.335 0.001
0.733 0.467 0.600
0.800 0.601 0.199
0.866 0.734 0.799
0.067 0.134 0.601
0.933 0.866 0.399
```

Output
SG: No. 2

***

(B)
Entry from the Alexandria database: a geometry-optimized Ag13Au2 structure (PBE).

Structure (POSCAR):
```
Ag13Au2
1.0
3.848 2.222 6.860
-3.848 2.222 6.860
0.000 -4.443 6.860
Ag Au
13 2
Direct
0.000 0.000 0.000
0.015 0.015 0.646
0.015 0.646 0.015
0.231 0.231 0.596
0.231 0.596 0.231
0.354 0.985 0.985
0.404 0.769 0.769
0.596 0.231 0.231
0.646 0.015 0.015
0.769 0.404 0.769
0.769 0.769 0.404
0.985 0.354 0.985
0.985 0.985 0.354
0.232 0.232 0.232
0.768 0.768 0.768
```

Output
SG: No. 166

***

Which of them is least stable? Easy: (B).

***

(A)
Entry from the Alexandria database: a geometry-optimized Ag2Au7 structure (PBE).

Structure (POSCAR):
```
Ag2Au7
1.0
8.079 0.000 0.000
-4.040 6.997 0.000
0.000 0.000 2.886
Ag Au
2 7
Direct
0.333 0.667 0.000
0.667 0.333 0.000
0.000 0.000 0.500
0.000 0.309 0.000
0.000 0.637 0.500
0.309 0.000 0.000
0.363 0.363 0.500
0.637 0.000 0.500
0.691 0.691 0.000
```

Output
SG: No. 189

***

(B)
Entry from the Alexandria database: a geometry-optimized Ag2Au7 structure (PBE).

Structure (POSCAR):
```
Ag2Au7
1.0
5.080 0.000 0.000
-2.540 4.400 0.000
0.000 0.000 7.234
Ag Au
2 7
Direct
0.333 0.667 0.000
0.667 0.333 0.000
0.000 0.000 0.000
0.000 0.333 0.669
0.000 0.667 0.331
0.333 0.000 0.669
0.333 0.333 0.331
0.667 0.000 0.331
0.667 0.667 0.669
```

Output
SG: No. 162

***

Which of them is least stable? Easy: (A).

***

(A)
Entry from the Alexandria database: a geometry-optimized AgB2Au structure (PBE).

Structure (POSCAR):
```
AgB2Au
1.0
-2.621 2.621 4.619
2.621 -2.621 4.619
2.621 2.621 -4.619
Ag B Au
2 4 2
Direct
0.000 0.000 0.000
0.750 0.250 0.500
0.140 0.625 0.015
0.375 0.390 0.515
0.610 0.125 0.985
0.875 0.860 0.485
0.250 0.750 0.500
0.500 0.500 0.000
```

Output
SG: No. 122

***

(B)
Entry from the Alexandria database: a geometry-optimized AgB2Au structure (PBE).

Structure (POSCAR):
```
AgB2Au
1.0
0.000 2.915 2.915
2.915 0.000 2.915
2.915 2.915 0.000
Ag B Au
1 2 1
Direct
0.000 0.000 0.000
0.250 0.250 0.250
0.750 0.750 0.750
0.500 0.500 0.500
```

Output
SG: No. 225

***

Which of them is least stable? Easy: (B).

***

(A)
Entry from the Alexandria database: a geometry-optimized AgBPt2Au structure (PBE).

Structure (POSCAR):
```
AgBPt2Au
1.0
4.139 0.000 0.000
0.000 4.139 0.000
0.000 0.000 4.562
Ag B Pt Au
1 1 2 1
Direct
0.000 0.000 0.000
0.000 0.000 0.500
0.000 0.500 0.500
0.500 0.000 0.500
0.500 0.500 0.000
```

Output
SG: No. 123

***

(B)
Entry from the Alexandria database: a geometry-optimized AgBPt2Au structure (PBE).

Structure (POSCAR):
```
AgBPt2Au
1.0
4.164 0.000 0.000
0.000 4.164 0.000
0.000 0.000 4.524
Ag B Pt Au
1 1 2 1
Direct
0.000 0.000 0.000
0.500 0.500 0.500
0.000 0.500 0.500
0.500 0.000 0.500
0.500 0.500 0.000
```

Output
SG: No. 123

***

Which of them is least stable? Easy: (A).

***

(A)
Entry from the Alexandria database: a geometry-optimized BaAg2Au structure (PBE).

Structure (POSCAR):
```
BaAg2Au
1.0
3.065 -5.291 0.000
3.065 5.291 0.000
-2.971 0.000 3.392
Ba Ag Au
1 2 1
Direct
0.000 0.000 0.000
0.000 0.500 0.500
0.500 0.000 0.500
0.500 0.500 0.000
```

Output
SG: No. 12

***

(B)
Entry from the Alexandria database: a geometry-optimized BaAg2Au structure (PBE).

Structure (POSCAR):
```
BaAg2Au
1.0
3.788 0.000 0.000
0.000 3.788 0.000
0.000 0.000 7.123
Ba Ag Au
1 2 1
Direct
0.000 0.000 0.000
0.000 0.000 0.503
0.500 0.500 0.330
0.500 0.500 0.718
```

Output
SG: No. 99

***

(C)
Entry from the Alexandria database: a geometry-optimized BaAg2Au structure (PBE).

Structure (POSCAR):
```
BaAg2Au
1.0
-2.557 2.557 9.731
2.557 -2.557 9.731
2.557 2.557 -9.731
Ba Ag Au
2 4 2
Direct
0.000 0.000 0.000
0.750 0.250 0.500
0.319 0.625 0.194
0.375 0.569 0.694
0.431 0.125 0.806
0.875 0.681 0.306
0.250 0.750 0.500
0.500 0.500 0.000
```

Output
SG: No. 122

***

Which of them is least stable? Easy: (A).

***

(A)
Entry from the Alexandria database: a geometry-optimized BaAg3Au structure (PBE).

Structure (POSCAR):
```
BaAg3Au
1.0
6.037 0.000 0.000
0.000 6.037 0.000
0.000 0.000 6.037
Ba Ag Au
1 3 1
Direct
0.000 0.000 0.000
0.000 0.000 0.500
0.000 0.500 0.000
0.500 0.000 0.000
0.500 0.500 0.500
```

Output
SG: No. 221

***

(B)
Entry from the Alexandria database: a geometry-optimized BaAg3Au structure (PBE).

Structure (POSCAR):
```
BaAg3Au
1.0
5.276 0.000 0.000
0.000 5.276 0.000
0.000 0.000 5.276
Ba Ag Au
1 3 1
Direct
0.000 0.000 0.000
0.000 0.500 0.500
0.500 0.000 0.500
0.500 0.500 0.000
0.500 0.500 0.500
```

Output
SG: No. 221

***

Which of them is least stable? Easy: (A).